Entry 1:
First-principles (PBE) data for Ac2La3Sn4 after structural relaxation, as listed in Alexandria via LeMat-Bulk.

Cell and atoms, written as extended XYZ:
```
18
Lattice="3.7411 -9.0738 0.0000 3.7411 9.0738 0.0000 0.0000 0.0000 9.3593" Properties=species:S:1:pos:R:3 pbc="T T T"
Ac 3.7411 7.1012 8.5688
Ac 3.7411 1.9725 3.8891
Ac 3.7411 -1.9725 5.4702
Ac 3.7411 -7.1012 0.7906
La 0.0000 0.0000 4.6797
La 1.8705 3.7760 7.0195
La 1.8705 -3.7760 2.3398
La 3.7411 0.0000 0.0000
La 5.6116 3.7760 7.0195
La 5.6116 -3.7760 2.3398
Sn 3.7411 5.7167 5.1912
Sn 1.8705 0.5927 7.0195
Sn 1.8705 -0.5927 2.3398
Sn 3.7411 3.3571 0.5116
Sn 3.7411 -3.3571 8.8478
Sn 5.6116 0.5927 7.0195
Sn 5.6116 -0.5927 2.3398
Sn 3.7411 -5.7167 4.1681
```

Properties
space group = Cmce (64)
magnetic moment = 0.0000 μB/atom
energy relative to the elements = -0.640 eV/atom

Entry 2:
First-principles (PBE) data for CeDy3Tm2As6 after structural relaxation, as listed in Alexandria via LeMat-Bulk.

Cell and atoms, written as extended XYZ:
```
12
Lattice="3.5625 -6.1698 0.0000 3.5625 6.1698 0.0000 -2.3770 0.0000 6.7264" Properties=species:S:1:pos:R:3 pbc="T T T"
Ce 0.0000 0.0000 0.0000
Dy 2.3740 4.1248 3.3632
Dy 2.3740 0.0000 3.3632
Dy 2.3740 -4.1248 3.3632
Tm 3.5625 2.0588 0.0000
Tm 3.5625 -2.0588 0.0000
As 1.1973 2.0745 1.6751
As 0.0195 0.0000 5.0616
As 1.1973 -2.0745 1.6751
As 3.5507 2.0745 5.0512
As 4.7285 0.0000 1.6647
As 3.5507 -2.0745 5.0512
```

Properties
space group = C2/m (12)
magnetic moment = 0.0400 μB/atom
energy relative to the elements = -1.509 eV/atom

Entry 3:
First-principles (PBE) data for Ta6AlGa2 after structural relaxation, as listed in Alexandria via LeMat-Bulk.

Cell and atoms, written as extended XYZ:
```
18
Lattice="8.0940 0.0000 0.0000 0.0000 8.3533 0.0000 0.0000 0.0000 4.6221" Properties=species:S:1:pos:R:3 pbc="T T T"
Ta 0.0115 1.3877 0.0000
Ta 1.3542 4.8823 2.3111
Ta 1.3879 7.7419 2.3111
Ta 2.6591 3.5653 0.0000
Ta 2.6928 0.7057 0.0000
Ta 4.0355 5.5644 2.3111
Ta 4.0585 2.7889 2.3111
Ta 5.4012 7.6475 0.0000
Ta 5.4349 4.7880 0.0000
Ta 6.7061 0.6114 2.3111
Ta 6.7398 3.4709 2.3111
Ta 8.0825 6.9655 0.0000
Al 0.0000 4.1766 0.0000
Al 4.0470 0.0000 2.3111
Ga 1.3632 2.1214 2.3111
Ga 2.6838 6.2981 0.0000
Ga 5.4102 2.0552 0.0000
Ga 6.7308 6.2318 2.3111
```

Properties
space group = Pnnm (58)
magnetic moment = 0.0000 μB/atom
energy relative to the elements = -0.104 eV/atom

Entry 4:
First-principles (PBE) data for Ca2URh4 after structural relaxation, as listed in Alexandria via LeMat-Bulk.

Cell and atoms, written as extended XYZ:
```
7
Lattice="-2.1537 2.1537 7.4461 2.1537 -2.1537 7.4461 2.1537 2.1537 -7.4461" Properties=species:S:1:pos:R:3 pbc="T T T"
Ca 0.0000 0.0000 3.6256
Ca 0.0000 0.0000 11.2666
U 0.0000 0.0000 7.4461
Rh 2.1537 0.0000 1.5513
Rh 2.1537 0.0000 5.8948
Rh 0.0000 2.1537 1.5513
Rh 0.0000 2.1537 5.8948
```

Properties
space group = I4/mmm (139)
magnetic moment = 0.0000 μB/atom
energy relative to the elements = -0.336 eV/atom

Entry 5:
First-principles (PBE) data for ErThCo2 after structural relaxation, as listed in Alexandria via LeMat-Bulk.

Cell and atoms, written as extended XYZ:
```
4
Lattice="1.9196 1.1083 6.4447 -1.9196 1.1083 6.4447 0.0000 -2.2166 6.4447" Properties=species:S:1:pos:R:3 pbc="T T T"
Er 0.0000 0.0000 0.0000
Th 0.0000 0.0000 9.6670
Co 0.0000 0.0000 4.8111
Co 0.0000 0.0000 14.5229
```

Properties
space group = R-3m (166)
magnetic moment = 0.0000 μB/atom
energy relative to the elements = -0.071 eV/atom

Entry 6:
First-principles (PBE) data for Tm5ZnIr4 after structural relaxation, as listed in Alexandria via LeMat-Bulk.

Cell and atoms, written as extended XYZ:
```
10
Lattice="3.4007 0.0000 0.0000 0.0000 3.4007 0.0000 0.0000 0.0000 17.2182" Properties=species:S:1:pos:R:3 pbc="T T T"
Tm 0.0000 0.0000 0.0000
Tm 0.0000 0.0000 3.3688
Tm 0.0000 0.0000 6.6983
Tm 0.0000 0.0000 10.5199
Tm 0.0000 0.0000 13.8494
Zn 1.7003 1.7003 8.6091
Ir 1.7003 1.7003 1.6928
Ir 1.7003 1.7003 5.1040
Ir 1.7003 1.7003 12.1142
Ir 1.7003 1.7003 15.5254
```

Properties
space group = P4/mmm (123)
magnetic moment = 0.0014 μB/atom
energy relative to the elements = -0.816 eV/atom

Entry 7:
First-principles (PBE) data for Cs2Tl2Cd15 after structural relaxation, as listed in Alexandria via LeMat-Bulk.

Cell and atoms, written as extended XYZ:
```
19
Lattice="5.4299 3.1349 5.1176 -5.4299 3.1349 5.1176 0.0000 -6.2699 5.1176" Properties=species:S:1:pos:R:3 pbc="T T T"
Cs 0.0000 0.0000 2.4107
Cs 0.0000 0.0000 12.9423
Tl 0.0000 0.0000 6.0987
Tl 0.0000 0.0000 9.2542
Cd -2.7149 -1.5675 5.1176
Cd 0.0000 -3.1971 4.8865
Cd -2.7688 1.5985 4.8865
Cd -1.6142 -2.7958 7.6765
Cd -3.2283 0.0000 7.6765
Cd -2.7688 -1.5985 10.4664
Cd -2.7149 1.5675 10.2353
Cd 1.6142 -2.7958 7.6765
Cd 0.0000 3.1349 5.1176
Cd -1.6142 2.7958 7.6765
Cd 2.7688 1.5985 4.8865
Cd 3.2283 0.0000 7.6765
Cd 1.6142 2.7958 7.6765
Cd 2.7688 -1.5986 10.4664
Cd 0.0000 3.1971 10.4664
```

Properties
space group = R-3m (166)
magnetic moment = 0.0000 μB/atom
energy relative to the elements = -0.030 eV/atom

Entry 8:
First-principles (PBE) data for KLiCa2Cd after structural relaxation, as listed in Alexandria via LeMat-Bulk.

Cell and atoms, written as extended XYZ:
```
5
Lattice="6.1327 0.0000 0.0000 0.0000 6.1327 0.0000 0.0000 0.0000 5.4785" Properties=species:S:1:pos:R:3 pbc="T T T"
K 0.0000 0.0000 0.0000
Li 3.0663 3.0663 0.0000
Ca 0.0000 3.0663 2.7393
Ca 3.0663 0.0000 2.7393
Cd 3.0663 3.0663 2.7393
```

Properties
space group = P4/mmm (123)
magnetic moment = 0.0000 μB/atom
energy relative to the elements = 0.061 eV/atom